# PBE Ac8La, optimized geometry
# DOS(E_F)	19.0	states/eV/f.u.
# volume	798.6	Å³/cell
# final energy	-75.3	eV for the cell shown
# total magnetic moment	0.00	μB per formula unit
# energy of formation	0.02	eV per atom
data_Ac8La
_chemical_formula_sum 'Ac16 La2'
_cell_length_a 11.914
_cell_length_b 11.914
_cell_length_c 5.626
_cell_angle_alpha 90.00
_cell_angle_beta 90.00
_cell_angle_gamma 90.00
_space_group_name_H-M_alt 'I 4/m m m'
_space_group_IT_number 139
_space_group_name_Hall '-I 4 2'
loop_
_atom_site_label
_atom_site_fract_x
_atom_site_fract_y
_atom_site_fract_z
Ac1 0.000 0.332 0.000
Ac2 0.165 0.165 0.500
La1 0.000 0.000 0.000